Record 1
# TbReW | the Alexandria database | PBE | optimized geometry
# - Final energy: -10.053 eV/atom
# - Total magnetization: 0.00 μB/cell
# - Relative energy among the computed polymorphs: 0.013 eV/atom
# - SG: Amm2
# - E_form: -0.04 eV/atom
data_TbReW
_chemical_formula_sum 'Tb4 Re4 W4'
_cell_length_a 5.5207
_cell_length_b 5.5207
_cell_length_c 8.8266
_cell_angle_alpha 90.00
_cell_angle_beta 90.00
_cell_angle_gamma 119.74
_symmetry_space_group_name_H-M 'P 1'
_symmetry_Int_Tables_number 1
loop_
_symmetry_equiv_pos_as_xyz
'x,y,z'
loop_
_atom_site_label
_atom_site_fract_x
_atom_site_fract_y
_atom_site_fract_z
_atom_site_occupancy
W1 0.3382 0.1675 0.5000 1
Tb1 0.3329 0.6672 0.6914 1
Tb2 0.6671 0.3329 0.1844 1
W2 0.9987 0.0013 0.7562 1
W3 0.8325 0.6618 0.5000 1
Re1 0.1720 0.8280 0.0000 1
Re2 0.6581 0.8285 0.0000 1
Re3 0.8301 0.1699 0.5000 1
W4 0.9987 0.0013 0.2438 1
Tb3 0.6671 0.3329 0.8156 1
Re4 0.1715 0.3419 0.0000 1
Tb4 0.3329 0.6672 0.3086 1

***

Record 2
# RbLiReF6 | the Alexandria database | PBE | optimized geometry
# - Final energy: -5.300 eV/atom
# - ΔE_f (raw): -226.67 kJ per mole of atoms
# - Total magnetization: 6.00 μB/cell
# - SG: Imma
data_RbLiReF6
_chemical_formula_sum 'Rb2 Li2 Re2 F12'
_cell_length_a 7.3033
_cell_length_b 7.5888
_cell_length_c 7.5439
_cell_angle_alpha 120.20
_cell_angle_beta 118.95
_cell_angle_gamma 90.00
_symmetry_space_group_name_H-M 'P 1'
_symmetry_Int_Tables_number 1
loop_
_symmetry_equiv_pos_as_xyz
'x,y,z'
loop_
_atom_site_label
_atom_site_fract_x
_atom_site_fract_y
_atom_site_fract_z
_atom_site_occupancy
F1 0.5852 0.3402 0.7679 1
F2 0.1959 0.9459 0.3918 1
F3 0.8172 0.6598 0.2321 1
Rb1 0.9485 0.6985 0.8971 1
Li1 0.0000 0.0000 0.5000 1
F4 0.8041 0.0541 0.6082 1
F5 0.1828 0.9278 0.7679 1
F6 0.5852 0.9278 0.7679 1
F7 0.4148 0.6598 0.2321 1
F8 0.4148 0.0722 0.2321 1
F9 0.8172 0.0722 0.2321 1
F10 0.1828 0.3402 0.7679 1
F11 0.5693 0.3193 0.1385 1
Rb2 0.0515 0.3015 0.1029 1
Re1 0.5000 0.0000 0.0000 1
Re2 0.5000 0.5000 0.0000 1
Li2 0.5000 0.0000 0.5000 1
F12 0.4307 0.6807 0.8615 1

***

Record 3
# NaPuTlPt | the Alexandria database | PBE | optimized geometry
# - Final energy: -6.150 eV/atom
# - Total magnetization: 5.61 μB/cell
# - SG: F-43m
# - E_form: -0.14 eV/atom
data_NaPuTlPt
_chemical_formula_sum 'Na1 Pu1 Tl1 Pt1'
_cell_length_a 5.0911
_cell_length_b 5.0911
_cell_length_c 5.0911
_cell_angle_alpha 60.00
_cell_angle_beta 60.00
_cell_angle_gamma 60.00
_symmetry_space_group_name_H-M 'P 1'
_symmetry_Int_Tables_number 1
loop_
_symmetry_equiv_pos_as_xyz
'x,y,z'
loop_
_atom_site_label
_atom_site_fract_x
_atom_site_fract_y
_atom_site_fract_z
_atom_site_occupancy
Pu1 0.2500 0.2500 0.2500 1
Tl1 0.5000 0.5000 0.5000 1
Pt1 0.0000 0.0000 0.0000 1
Na1 0.7500 0.7500 0.7500 1

***

> What is the final energy in the third record?

-6.150 eV/atom